## CrAs2PdSe (PBEsol)

Data for a relaxed structure of CrAs2PdSe.

abc: 4.541 4.541 4.590
angles: 90.00 90.00 90.00
Fractional positions:
Se1 0.000 0.000 0.500
Pd1 0.500 0.500 0.500
As1 0.500 0.000 0.000
As2 0.000 0.500 0.000
Cr1 0.000 0.000 0.000

## Properties
- ρ: 6.8 Mg/m³
- Magnetic moment: 0.014 μB/cell
- Formation energy from raw total energies: 0.478 eV per atom

## ZrMo3 (PBEsol)

Data for a relaxed structure of ZrMo3.

abc: 3.190 3.190 6.494
angles: 90.00 90.00 90.00
Fractional positions:
Mo1 0.000 0.000 0.766
Mo2 0.000 0.000 0.234
Mo3 0.500 0.500 0.000
Zr1 0.500 0.500 0.500

## Properties
- ρ: 9.5 Mg/m³
- Magnetic moment: 0.000 μB/cell
- DFT formation energy: -0.01 eV per atom

## Pr8Sb14Pt17 (PBEsol)

Data for a relaxed structure of Pr8Sb14Pt17.

abc: 12.476 13.912 12.476
angles: 63.36 90.00 116.64
Fractional positions:
Pt1 0.708 0.950 0.792
Pt2 0.373 0.238 0.902
Pt3 0.719 0.603 0.616
Pt4 0.598 0.238 0.127
Pt5 0.219 0.603 0.281
Pt6 0.913 0.602 0.323
Pt7 0.165 0.085 0.335
Pt8 0.242 0.950 0.258
Pt9 0.641 0.238 0.634
Pt10 0.208 0.950 0.758
Pt11 0.689 0.602 0.075
Pt12 0.925 0.602 0.087
Pt13 0.420 0.085 0.835
Pt14 0.663 0.611 0.837
Pt15 0.884 0.603 0.781
Pt16 0.002 0.004 0.998
Pt17 0.366 0.238 0.402
Pt18 0.742 0.950 0.292
Pt19 0.677 0.602 0.311
Pt20 0.948 0.611 0.552
Pt21 0.177 0.602 0.587
Pt22 0.866 0.238 0.859
Pt23 0.141 0.238 0.627
Pt24 0.413 0.602 0.575
Pt25 0.502 0.004 0.498
Pt26 0.384 0.603 0.116
Pt27 0.665 0.085 0.080
Pt28 0.098 0.238 0.134
Pt29 0.873 0.238 0.359
Pt30 0.189 0.602 0.823
Pt31 0.425 0.602 0.811
Pt32 0.920 0.085 0.580
Pt33 0.448 0.611 0.337
Pt34 0.163 0.611 0.052
Sb1 0.440 0.074 0.060
Sb2 0.426 0.106 0.597
Sb3 0.904 0.807 0.596
Sb4 0.634 0.074 0.866
Sb5 0.940 0.074 0.366
Sb6 0.903 0.106 0.074
Sb7 0.404 0.807 0.096
Sb8 0.730 0.475 0.518
Sb9 0.482 0.475 0.256
Sb10 0.180 0.106 0.097
Sb11 0.635 0.710 0.424
Sb12 0.492 0.475 0.756
Sb13 0.135 0.710 0.365
Sb14 0.203 0.106 0.820
Sb15 0.744 0.475 0.008
Sb16 0.878 0.756 0.122
Sb17 0.244 0.475 0.018
Sb18 0.680 0.106 0.297
Sb19 0.378 0.756 0.622
Sb20 0.926 0.106 0.797
Sb21 0.703 0.106 0.574
Sb22 0.134 0.074 0.560
Sb23 0.076 0.710 0.865
Sb24 0.230 0.475 0.508
Sb25 0.403 0.106 0.320
Sb26 0.982 0.475 0.770
Sb27 0.576 0.710 0.924
Sb28 0.992 0.475 0.270
Pr1 0.404 0.844 0.826
Pr2 0.930 0.362 0.067
Pr3 0.933 0.362 0.567
Pr4 0.171 0.844 0.060
Pr5 0.430 0.362 0.070
Pr6 0.433 0.362 0.570
Pr7 0.170 0.341 0.330
Pr8 0.671 0.844 0.596
Pr9 0.670 0.341 0.830
Pr10 0.940 0.844 0.326
Pr11 0.174 0.844 0.560
Pr12 0.677 0.355 0.323
Pr13 0.904 0.844 0.829
Pr14 0.177 0.355 0.823
Pr15 0.674 0.844 0.096
Pr16 0.440 0.844 0.329

## Properties
- ρ: 12.2 Mg/m³
- Magnetic moment: 0.001 μB/cell
- Formation energy from raw total energies: -0.870 eV per atom

## KPbSeBr2 (PBEsol)

Data for a relaxed structure of KPbSeBr2.

abc: 5.358 5.810 5.810
angles: 90.00 90.00 90.00
Fractional positions:
Br1 0.000 0.000 0.500
Br2 0.000 0.500 0.000
Pb1 0.000 0.000 0.000
K1 0.500 0.500 0.500
Se1 0.500 0.000 0.000

## Properties
- ρ: 4.5 Mg/m³
- Magnetic moment: 0.001 μB/cell
- Formation energy from raw total energies: -0.777 eV per atom

## CaYH2 (PBEsol)

Data for a relaxed structure of CaYH2.

abc: 5.216 5.216 6.395
angles: 114.07 114.07 90.00
Fractional positions:
Y1 0.250 0.750 0.500
Y2 0.000 0.000 0.000
H1 0.625 0.658 0.750
H2 0.908 0.375 0.250
H3 0.125 0.092 0.750
H4 0.342 0.875 0.250
Ca1 0.750 0.250 0.500
Ca2 0.500 0.500 0.000

## Properties
- ρ: 3.1 Mg/m³
- Magnetic moment: 1.118 μB/cell
- Calculated total energy: -4.217 eV/atom

## RbTaTiO5 (PBEsol)

Data for a relaxed structure of RbTaTiO5.

abc: 3.809 6.433 18.978
angles: 90.00 90.00 90.00
Fractional positions:
Rb1 0.750 0.212 0.196
Rb2 0.750 0.712 0.304
Rb3 0.250 0.288 0.696
Rb4 0.250 0.788 0.804
O1 0.250 0.739 0.578
O2 0.250 0.842 0.198
O3 0.250 0.646 0.991
O4 0.250 0.965 0.383
O5 0.250 0.564 0.431
O6 0.750 0.436 0.569
O7 0.750 0.158 0.802
O8 0.750 0.761 0.078
O9 0.250 0.239 0.922
O10 0.750 0.854 0.491
O11 0.750 0.354 0.009
O12 0.250 0.064 0.069
O13 0.750 0.658 0.698
O14 0.750 0.035 0.617
O15 0.750 0.535 0.883
O16 0.750 0.936 0.931
O17 0.250 0.146 0.509
O18 0.250 0.342 0.302
O19 0.250 0.465 0.117
O20 0.750 0.261 0.422
Ta1 0.750 0.728 0.605
Ta2 0.250 0.772 0.105
Ta3 0.250 0.272 0.395
Ta4 0.750 0.228 0.895
Ti1 0.250 0.319 0.033
Ti2 0.250 0.819 0.467
Ti3 0.750 0.181 0.533
Ti4 0.750 0.681 0.967

## Properties
- ρ: 5.6 Mg/m³
- Magnetic moment: 0.000 μB/cell
- Formation energy from raw total energies: -2.810 eV per atom

## CaZn2MoSe (PBEsol)

Data for a relaxed structure of CaZn2MoSe.

abc: 4.659 4.885 4.885
angles: 90.00 90.00 90.00
Fractional positions:
Zn1 0.000 0.000 0.500
Zn2 0.000 0.500 0.000
Se1 0.000 0.000 0.000
Ca1 0.500 0.500 0.500
Mo1 0.500 0.000 0.000

## Properties
- ρ: 5.2 Mg/m³
- Magnetic moment: 0.219 μB/cell
- Formation energy from raw total energies: 0.601 eV per atom

## KBeAu2 (PBEsol)

Data for a relaxed structure of KBeAu2.

abc: 2.956 5.730 5.730
angles: 58.60 75.05 75.05
Fractional positions:
Be1 0.500 0.000 0.000
Au1 0.821 0.179 0.179
Au2 0.179 0.821 0.821
K1 0.000 0.500 0.500

## Properties
- ρ: 9.3 Mg/m³
- Magnetic moment: 0.000 μB/cell
- DFT formation energy: 0.07 eV per atom

## Cs (PBEsol)

Data for a relaxed structure of Cs.

abc: 5.339 5.339 5.339
angles: 60.00 60.00 60.00
Fractional positions:
Cs1 0.000 0.000 0.000

## Properties
- ρ: 2.1 Mg/m³
- Magnetic moment: 0.000 μB/cell
- DFT formation energy: 0.00 eV per atom

## TlCo2Tc (PBEsol)

Data for a relaxed structure of TlCo2Tc.

abc: 2.863 2.861 6.829
angles: 90.00 90.00 90.00
Fractional positions:
Co1 0.000 0.000 0.046
Co2 0.500 0.500 0.239
Tc1 0.000 0.000 0.449
Tl1 0.500 0.500 0.767

## Properties
- ρ: 12.5 Mg/m³
- Magnetic moment: 2.563 μB/cell
- DFT formation energy: 0.47 eV per atom

## CrMo3 (PBEsol)

Data for a relaxed structure of CrMo3.

abc: 4.322 5.306 5.306
angles: 109.63 90.00 90.00
Fractional positions:
Mo1 0.750 0.379 0.130
Mo2 0.750 0.873 0.127
Mo3 0.250 0.127 0.873
Mo4 0.250 0.621 0.870
Mo5 0.750 0.870 0.621
Mo6 0.250 0.130 0.379
Cr1 0.250 0.623 0.377
Cr2 0.750 0.377 0.623

## Properties
- ρ: 9.8 Mg/m³
- Magnetic moment: 0.005 μB/cell
- DFT formation energy: 0.06 eV per atom

## Ru3CCl (PBEsol)

Data for a relaxed structure of Ru3CCl.

abc: 4.042 4.042 4.042
angles: 90.00 90.00 90.00
Fractional positions:
Cl1 0.500 0.500 0.500
Ru1 0.000 0.500 0.000
Ru2 0.000 0.000 0.500
Ru3 0.500 0.000 0.000
C1 0.000 0.000 0.000

## Properties
- ρ: 8.8 Mg/m³
- Magnetic moment: 1.305 μB/cell
- Formation energy from raw total energies: 0.925 eV per atom

Which of these has the highest magnetic moment? TlCo2Tc